Record 1
Crystalline ZrTcAs3 at its relaxed geometry. Source: the Alexandria database, functional PBE-GGA.

```
5
Lattice="4.7992 0.0000 0.0000 0.0000 4.7992 0.0000 0.0000 0.0000 4.7992" Properties=species:S:1:pos:R:3 pbc="T T T"
Zr 0.0000 0.0000 0.0000
Tc 2.3996 2.3996 2.3996
As 0.0000 2.3996 2.3996
As 2.3996 0.0000 2.3996
As 2.3996 2.3996 0.0000
```

DOS at the Fermi energy   4.2 states/eV/f.u.
Calculated formation energy   0.4753 eV/atom

=====

Record 2
Crystalline ZrTcAs2 at its relaxed geometry. Source: the Alexandria database, functional PBE-GGA.

```
12
Lattice="3.2613 0.0000 0.0000 -1.6306 2.8243 0.0000 0.0000 0.0000 24.5094" Properties=species:S:1:pos:R:3 pbc="T T T"
Zr 0.0000 0.0000 0.0000
Zr 0.0000 1.8829 16.3396
Zr 1.6306 0.9414 8.1698
Tc 0.0000 0.0000 18.4261
Tc 0.0000 1.8829 10.2564
Tc 1.6306 0.9414 2.0865
As 0.0000 0.0000 6.0734
As 0.0000 0.0000 11.9179
As 0.0000 1.8829 3.7481
As 0.0000 1.8829 22.4130
As 1.6306 0.9414 14.2432
As 1.6306 0.9414 20.0877
```

DOS at the Fermi energy   3.5 states/eV/f.u.
Calculated formation energy   -0.1297 eV/atom

=====

Record 3
Crystalline Zr2TcAs at its relaxed geometry. Source: the Alexandria database, functional PBE-GGA.

```
16
Lattice="7.3026 0.0000 0.0000 0.0000 7.3026 0.0000 0.0000 0.0000 5.9153" Properties=species:S:1:pos:R:3 pbc="T T T"
Zr 1.7634 1.8256 0.7394
Zr 1.8256 5.4147 2.2182
Zr 1.8256 5.5391 5.1759
Zr 1.8879 1.8256 3.6971
Zr 5.4147 5.4769 3.6971
Zr 5.4769 1.7634 5.1759
Zr 5.4769 1.8879 2.2182
Zr 5.5391 5.4769 0.7394
Tc 0.0000 0.0000 0.0000
Tc 0.0000 3.6513 1.4788
Tc 3.6513 0.0000 4.4365
Tc 3.6513 3.6513 2.9576
As 0.0000 0.0000 2.9576
As 0.0000 3.6513 4.4365
As 3.6513 0.0000 1.4788
As 3.6513 3.6513 0.0000
```

DOS at the Fermi energy   3.7 states/eV/f.u.
Calculated formation energy   -0.0472 eV/atom

=====

Record 4
Crystalline Zr2TcAs at its relaxed geometry. Source: the Alexandria database, functional PBE-GGA.

```
8
Lattice="3.3215 0.0000 0.0000 0.0000 4.3077 0.0000 0.0000 0.0000 10.6419" Properties=species:S:1:pos:R:3 pbc="T T T"
Zr 0.0000 0.0000 0.0000
Zr 0.0000 2.1538 2.4993
Zr 1.6608 0.0000 7.8203
Zr 1.6608 2.1538 5.3210
Tc 0.0000 0.0000 5.2906
Tc 1.6608 2.1538 10.6116
As 0.0000 2.1538 8.5749
As 1.6608 0.0000 3.2539
```

DOS at the Fermi energy   2.5 states/eV/f.u.
Calculated formation energy   -0.5020 eV/atom

=====

Record 5
Crystalline ZrTcAs3 at its relaxed geometry. Source: the Alexandria database, functional PBE-GGA.

```
5
Lattice="5.1409 0.0000 0.0000 0.0000 5.1409 0.0000 0.0000 0.0000 5.1409" Properties=species:S:1:pos:R:3 pbc="T T T"
Zr 0.0000 0.0000 0.0000
Tc 2.5704 2.5704 2.5704
As 0.0000 0.0000 2.5704
As 0.0000 2.5704 0.0000
As 2.5704 0.0000 0.0000
```

DOS at the Fermi energy   5.6 states/eV/f.u.
Calculated formation energy   0.9209 eV/atom

=====

Record 6
Crystalline ZrTc2As2 at its relaxed geometry. Source: the Alexandria database, functional PBE-GGA.

```
10
Lattice="4.2849 0.0000 0.0000 0.0000 4.2849 0.0000 0.0000 0.0000 9.5030" Properties=species:S:1:pos:R:3 pbc="T T T"
Zr 0.0000 0.0000 0.0000
Zr 2.1425 2.1425 4.7515
Tc 0.0000 2.1425 2.3757
Tc 0.0000 2.1425 7.1272
Tc 2.1425 0.0000 2.3757
Tc 2.1425 0.0000 7.1272
As 0.0000 0.0000 3.5238
As 0.0000 0.0000 5.9792
As 2.1425 2.1425 1.2277
As 2.1425 2.1425 8.2753
```

DOS at the Fermi energy   2.9 states/eV/f.u.
Calculated formation energy   -0.3262 eV/atom